VASP calculation (PBE) on crystalline Tb12DyY5 at its relaxed geometry. Values from VASP.

Quantum ESPRESSO input file:
```
&SYSTEM
  ibrav = 0, nat = 18, ntyp = 3
/
ATOMIC_SPECIES
Tb 158.93 Tb.upf
Dy 162.50 Dy.upf
Y 88.91 Y.upf
ATOMIC_POSITIONS crystal
Tb 0.001 0.000 0.334
Tb 0.166 0.500 0.499
Tb 0.167 0.500 0.167
Tb 0.333 0.000 0.333
Tb 0.334 0.000 0.001
Tb 0.499 0.500 0.166
Tb 0.501 0.500 0.834
Tb 0.666 0.000 0.999
Tb 0.667 0.000 0.667
Tb 0.833 0.500 0.833
Tb 0.834 0.500 0.501
Tb 0.999 0.000 0.666
Dy 0.000 0.000 0.000
Y 0.166 0.500 0.834
Y 0.333 0.000 0.667
Y 0.500 0.500 0.500
Y 0.667 0.000 0.333
Y 0.834 0.500 0.166
CELL_PARAMETERS angstrom
10.679 0.000 0.000
0.000 5.037 0.000
-0.015 0.000 10.693
```

Properties
The final energy is -92.2 eV/cell. As for the total moment: 0.000 μB per cell.

=====

VASP calculation (PBE) on crystalline TbDyY5 at its relaxed geometry. Values from VASP.

Quantum ESPRESSO input file:
```
&SYSTEM
  ibrav = 0, nat = 7, ntyp = 3
/
ATOMIC_SPECIES
Tb 158.93 Tb.upf
Dy 162.50 Dy.upf
Y 88.91 Y.upf
ATOMIC_POSITIONS crystal
Tb 0.000 0.000 0.000
Dy 0.500 0.500 0.000
Y 0.178 0.500 0.678
Y 0.254 0.254 0.000
Y 0.500 0.000 0.500
Y 0.746 0.746 0.000
Y 0.822 0.500 0.322
CELL_PARAMETERS angstrom
-2.897 4.313 5.971
2.897 -4.313 5.971
2.897 4.313 -5.971
```

Properties
As for the energy above the lowest structure with this stoichiometry: 921 meV/atom. The final energy is -33.9 eV/cell. As for the total moment: 0.000 μB per cell.

=====

VASP calculation (PBE) on crystalline Tb12Dy5Y at its relaxed geometry. Values from VASP.

Quantum ESPRESSO input file:
```
&SYSTEM
  ibrav = 0, nat = 18, ntyp = 3
/
ATOMIC_SPECIES
Tb 158.93 Tb.upf
Dy 162.50 Dy.upf
Y 88.91 Y.upf
ATOMIC_POSITIONS crystal
Tb 0.000 0.000 0.166
Tb 0.000 0.000 0.834
Tb 0.167 0.500 0.000
Tb 0.167 0.500 0.667
Tb 0.334 0.000 0.500
Tb 0.334 0.000 0.834
Tb 0.500 0.500 0.333
Tb 0.500 0.500 0.667
Tb 0.666 0.000 0.166
Tb 0.666 0.000 0.500
Tb 0.833 0.500 0.000
Tb 0.833 0.500 0.333
Dy 0.167 0.500 0.333
Dy 0.333 0.000 0.167
Dy 0.500 0.500 0.000
Dy 0.667 0.000 0.833
Dy 0.833 0.500 0.667
Y 0.000 0.000 0.500
CELL_PARAMETERS angstrom
10.661 0.000 0.000
0.000 5.030 0.000
-0.020 0.000 10.672
```

Properties
The final energy is -84.7 eV/cell. As for the total moment: 0.000 μB per cell.

=====

VASP calculation (PBE) on crystalline TbDyY at its relaxed geometry. Values from VASP.

Quantum ESPRESSO input file:
```
&SYSTEM
  ibrav = 0, nat = 3, ntyp = 3
/
ATOMIC_SPECIES
Tb 158.93 Tb.upf
Dy 162.50 Dy.upf
Y 88.91 Y.upf
ATOMIC_POSITIONS crystal
Tb 0.000 0.000 0.000
Dy 0.335 0.335 0.000
Y 0.668 0.668 0.000
CELL_PARAMETERS angstrom
-1.777 1.777 7.567
1.777 -1.777 7.567
1.777 1.777 -7.567
```

Properties
As for the energy above the lowest structure with this stoichiometry: 0 meV/atom. The final energy is -15.6 eV/cell. As for the total moment: 0.000 μB per cell.

=====

VASP calculation (PBE) on crystalline TbDy8Y3 at its relaxed geometry. Values from VASP.

Quantum ESPRESSO input file:
```
&SYSTEM
  ibrav = 0, nat = 12, ntyp = 3
/
ATOMIC_SPECIES
Tb 158.93 Tb.upf
Dy 162.50 Dy.upf
Y 88.91 Y.upf
ATOMIC_POSITIONS crystal
Tb 0.000 0.000 0.000
Dy 0.125 0.125 0.498
Dy 0.125 0.626 0.000
Dy 0.374 0.374 0.498
Dy 0.374 0.875 0.000
Dy 0.626 0.125 0.000
Dy 0.626 0.626 0.502
Dy 0.875 0.374 0.000
Dy 0.875 0.875 0.502
Y 0.250 0.750 0.500
Y 0.500 0.500 0.000
Y 0.750 0.250 0.500
CELL_PARAMETERS angstrom
-3.848 3.848 7.701
3.848 -3.848 7.701
3.848 3.848 -7.701
```

Properties
The final energy is -51.8 eV/cell. As for the total moment: 0.000 μB per cell.

=====

VASP calculation (PBE) on crystalline TbDy9Y2 at its relaxed geometry. Values from VASP.

Quantum ESPRESSO input file:
```
&SYSTEM
  ibrav = 0, nat = 12, ntyp = 3
/
ATOMIC_SPECIES
Tb 158.93 Tb.upf
Dy 162.50 Dy.upf
Y 88.91 Y.upf
ATOMIC_POSITIONS crystal
Tb 0.000 0.000 0.000
Dy 0.000 0.500 0.000
Dy 0.176 0.351 0.500
Dy 0.176 0.824 0.500
Dy 0.351 0.176 0.500
Dy 0.500 0.000 0.000
Dy 0.500 0.500 0.000
Dy 0.649 0.824 0.500
Dy 0.824 0.176 0.500
Dy 0.824 0.649 0.500
Y 0.333 0.667 0.000
Y 0.667 0.333 0.000
CELL_PARAMETERS angstrom
11.230 0.000 0.000
-5.615 9.726 0.000
0.000 0.000 3.487
```

Properties
As for the energy above the lowest structure with this stoichiometry: 34 meV/atom. The final energy is -58.3 eV/cell. As for the total moment: 0.000 μB per cell.

=====

VASP calculation (PBE) on crystalline Tb12DyY7 at its relaxed geometry. Values from VASP.

Quantum ESPRESSO input file:
```
&SYSTEM
  ibrav = 0, nat = 20, ntyp = 3
/
ATOMIC_SPECIES
Tb 158.93 Tb.upf
Dy 162.50 Dy.upf
Y 88.91 Y.upf
ATOMIC_POSITIONS crystal
Tb 0.145 0.477 0.413
Tb 0.188 0.319 0.749
Tb 0.251 0.812 0.681
Tb 0.319 0.749 0.188
Tb 0.413 0.145 0.477
Tb 0.477 0.413 0.145
Tb 0.523 0.587 0.855
Tb 0.587 0.855 0.523
Tb 0.681 0.251 0.812
Tb 0.749 0.188 0.319
Tb 0.812 0.681 0.251
Tb 0.855 0.523 0.587
Dy 0.000 0.000 0.000
Y 0.016 0.349 0.081
Y 0.081 0.016 0.349
Y 0.349 0.081 0.016
Y 0.500 0.500 0.500
Y 0.651 0.919 0.984
Y 0.919 0.984 0.651
Y 0.984 0.651 0.919
CELL_PARAMETERS angstrom
6.422 3.708 4.584
-6.422 3.708 4.584
0.000 -7.416 4.584
```

Properties
As for the energy above the lowest structure with this stoichiometry: 0 meV/atom. The final energy is -99.5 eV/cell. As for the total moment: 0.000 μB per cell.

=====

VASP calculation (PBE) on crystalline TbDy6Y4 at its relaxed geometry. Values from VASP.

Quantum ESPRESSO input file:
```
&SYSTEM
  ibrav = 0, nat = 11, ntyp = 3
/
ATOMIC_SPECIES
Tb 158.93 Tb.upf
Dy 162.50 Dy.upf
Y 88.91 Y.upf
ATOMIC_POSITIONS crystal
Tb 0.000 0.000 0.000
Dy 0.000 0.500 0.500
Dy 0.014 0.643 0.000
Dy 0.357 0.357 0.371
Dy 0.500 0.000 0.500
Dy 0.643 0.014 0.000
Dy 0.986 0.986 0.629
Y 0.187 0.187 0.641
Y 0.454 0.813 0.000
Y 0.546 0.546 0.359
Y 0.813 0.454 0.000
CELL_PARAMETERS angstrom
-3.282 3.282 8.562
3.282 -3.282 8.562
3.282 3.282 -8.562
```

Properties
As for the energy above the lowest structure with this stoichiometry: 17 meV/atom. The final energy is -54.6 eV/cell. As for the total moment: 0.000 μB per cell.

=====

For each record above, in turn, the calculated calculated formation energy values are 0.018; 1.098; 0.016; 0.020; 0.751; 0.055; 0.298; 0.316 eV per atom.